# 1
{
  "formula": "RbAcAg2Br8",
  "functional": "PBE-GGA",
  "state": "relaxed",
  "formation_energy_uncorrected_ev_per_atom": -0.999,
  "space_group": "No. 82",
  "dos_ef_per_ev_atom": 1.366,
  "crystal_system": "tetragonal",
  "energy_ev_per_atom": -3.0126,
  "lattice_angstrom": [[-2.6638, 5.7334, 3.8274], [-4.8418, -4.4768, 3.3365], [9.0178, -2.0285, 2.1799]],
  "species": ["Br", "Br", "Rb", "Ac", "Br", "Br", "Br", "Br", "Ag", "Br", "Ag", "Br"],
  "frac_coords": [[0.1292, 0.5434, 0.8267], [0.5962, 0.6506, 0.6229], [0.0000, 0.0000, 0.0000], [0.7500, 0.2500, 0.5000], [0.4566, 0.3025, 0.1733], [0.7167, 0.8708, 0.1733], [0.0267, 0.9723, 0.6229], [0.0277, 0.4038, 0.3771], [0.2500, 0.7500, 0.5000], [0.3494, 0.9733, 0.3771], [0.5000, 0.5000, 0.0000], [0.6975, 0.2833, 0.8267]]
}

---

# 2
{
  "formula": "BeTl2W",
  "functional": "PBE-GGA",
  "state": "relaxed",
  "space_group": "No. 47",
  "relative_energy_kj_per_mol_fu": 162,
  "dos_ef_per_ev_atom": 0.404,
  "crystal_system": "orthorhombic",
  "energy_ev_per_atom": -4.2553,
  "lattice_angstrom": [[2.9449, 0.0000, 0.0000], [0.0000, 5.3649, 0.0000], [0.0000, 0.0000, 4.9908]],
  "species": ["Be", "Tl", "Tl", "W"],
  "frac_coords": [[0.0000, 0.5000, 0.5000], [0.5000, 0.5000, 0.0000], [0.0000, 0.0000, 0.0000], [0.5000, 0.0000, 0.5000]]
}

---

# 3
{
  "formula": "TlCu2Mo",
  "functional": "PBE-GGA",
  "state": "relaxed",
  "space_group": "No. 47",
  "relative_energy_kj_per_mol_fu": 22,
  "dos_ef_per_ev_atom": 0.810,
  "crystal_system": "orthorhombic",
  "energy_ev_per_atom": -4.8655,
  "lattice_angstrom": [[2.8564, 0.0000, 0.0000], [0.0000, 3.8764, 0.0000], [0.0000, 0.0000, 5.8562]],
  "species": ["Cu", "Cu", "Tl", "Mo"],
  "frac_coords": [[0.0000, 0.0000, 0.0364], [0.0000, 0.0000, 0.4636], [0.5000, 0.5000, 0.7500], [0.5000, 0.5000, 0.2500]]
}

---

# 4
{
  "formula": "PuZn4Sb",
  "functional": "PBE-GGA",
  "state": "relaxed",
  "formation_energy_uncorrected_ev_per_atom": -0.025,
  "space_group": "No. 216",
  "dos_ef_per_ev_atom": 2.245,
  "crystal_system": "cubic",
  "energy_ev_per_atom": -3.9500,
  "lattice_angstrom": [[5.5027, 0.0000, 0.0000], [2.7514, 4.7655, 0.0000], [2.7514, 1.5885, 4.4929]],
  "species": ["Zn", "Zn", "Zn", "Sb", "Zn", "Pu"],
  "frac_coords": [[0.6253, 0.6253, 0.1240], [0.1240, 0.6253, 0.6253], [0.6253, 0.6253, 0.6253], [0.0000, 0.0000, 0.0000], [0.6253, 0.1240, 0.6253], [0.2500, 0.2500, 0.2500]]
}

---

# 5
{
  "formula": "BaLi2Tl4Cd",
  "functional": "PBE-GGA",
  "state": "relaxed",
  "space_group": "No. 166",
  "dos_ef_per_ev_atom": 0.289,
  "crystal_system": "trigonal",
  "energy_ev_per_atom": -2.2412,
  "lattice_angstrom": [[4.9773, 0.0000, 0.0000], [2.4887, 4.3105, 0.0000], [2.4887, 1.4368, 10.5526]],
  "species": ["Li", "Tl", "Tl", "Li", "Tl", "Ba", "Cd", "Tl"],
  "frac_coords": [[0.7809, 0.7809, 0.6572], [0.1194, 0.1194, 0.6418], [0.5984, 0.5984, 0.2049], [0.2191, 0.2191, 0.3428], [0.4016, 0.4016, 0.7951], [0.0000, 0.0000, 0.0000], [0.5000, 0.5000, 0.5000], [0.8806, 0.8806, 0.3582]]
}

---

# 6
{
  "formula": "LaGe3B",
  "functional": "PBE-GGA",
  "state": "relaxed",
  "space_group": "No. 221",
  "relative_energy_kj_per_mol_fu": 0,
  "dos_ef_per_ev_atom": 0.757,
  "crystal_system": "cubic",
  "energy_ev_per_atom": -4.9353,
  "lattice_angstrom": [[-2.5235, -2.6780, -2.7632], [2.9182, -3.4858, 0.7133], [-2.5082, -1.3611, 3.6099]],
  "species": ["Ge", "La", "Ge", "B", "Ge"],
  "frac_coords": [[0.0000, 0.5000, 0.0000], [0.5000, 0.5000, 0.5000], [0.0000, 0.0000, 0.5000], [0.0000, 0.0000, 0.0000], [0.5000, 0.0000, 0.0000]]
}

---

# 7
{
  "formula": "CdAsAu2",
  "functional": "PBE-GGA",
  "state": "relaxed",
  "space_group": "No. 8",
  "relative_energy_kj_per_mol_fu": 10,
  "dos_ef_per_ev_atom": 0.556,
  "crystal_system": "monoclinic",
  "energy_ev_per_atom": -2.9951,
  "lattice_angstrom": [[-3.9469, -0.9520, -4.0556], [-1.1214, -2.9772, -4.7761], [-1.6176, -3.0764, 2.3041]],
  "species": ["Cd", "As", "Au", "Au"],
  "frac_coords": [[0.5256, 0.5256, 0.6258], [0.2205, 0.2205, 0.1243], [0.7853, 0.7853, 0.6244], [0.9686, 0.9686, 0.1256]]
}

---

# 8
{
  "formula": "Cs2Tl12Hg7",
  "functional": "PBE-GGA",
  "state": "relaxed",
  "space_group": "No. 147",
  "dos_ef_per_ev_atom": 0.483,
  "crystal_system": "trigonal",
  "energy_ev_per_atom": -1.5892,
  "lattice_angstrom": [[5.1649, 0.0000, 0.0000], [0.0000, 10.8728, -6.2774], [0.0000, 0.0000, 12.5548]],
  "species": ["Tl", "Hg", "Cs", "Tl", "Hg", "Hg", "Hg", "Cs", "Tl", "Hg", "Tl", "Tl", "Tl", "Tl", "Tl", "Tl", "Tl", "Tl", "Tl", "Hg", "Hg"],
  "frac_coords": [[0.7611, 0.0490, 0.4286], [0.2775, 0.4078, 0.1186], [0.7620, 0.6667, 0.3333], [0.2389, 0.9510, 0.5714], [0.2775, 0.8814, 0.2892], [0.7225, 0.5922, 0.8814], [0.7225, 0.2892, 0.4078], [0.2380, 0.3333, 0.6667], [0.7611, 0.5714, 0.6205], [0.5000, 0.0000, 0.0000], [0.7786, 0.8648, 0.1186], [0.7786, 0.2538, 0.1352], [0.7611, 0.3795, 0.9510], [0.2214, 0.7462, 0.8648], [0.2389, 0.4286, 0.3795], [0.2214, 0.1186, 0.2538], [0.2214, 0.1352, 0.8814], [0.7786, 0.8814, 0.7462], [0.2389, 0.6205, 0.0490], [0.7225, 0.1186, 0.7108], [0.2775, 0.7108, 0.5922]]
}